(1)
# KTe2Rh2

A relaxed structure of KTe2Rh2 (PBEsol, Alexandria via LeMat-Bulk).

```
data_KTe2Rh2
_cell_length_a 4.090
_cell_length_b 4.090
_cell_length_c 14.346
_cell_angle_alpha 90.00
_cell_angle_beta 90.00
_cell_angle_gamma 90.00
_symmetry_space_group_name_H-M 'I 4/m m m'
_symmetry_Int_Tables_number 139
_symmetry_space_group_name_Hall '-I 4 2'
loop_
_atom_site_label
_atom_site_type_symbol
_atom_site_fract_x
_atom_site_fract_y
_atom_site_fract_z
_atom_site_occupancy
K1 K 0.000 0.000 0.000 1
Te1 Te 0.000 0.000 0.361 1
Rh1 Rh 0.000 0.500 0.250 1
```

Computed properties:
* density: 6.9 g cm⁻³
* raw formation energy: -0.4279 eV/atom

(2)
# NiSbN3

A relaxed structure of NiSbN3 (PBEsol, Alexandria via LeMat-Bulk).

```
data_NiSbN3
_cell_length_a 3.984
_cell_length_b 3.984
_cell_length_c 3.984
_cell_angle_alpha 90.00
_cell_angle_beta 90.00
_cell_angle_gamma 90.00
_symmetry_space_group_name_H-M 'P m -3 m'
_symmetry_Int_Tables_number 221
_symmetry_space_group_name_Hall '-P 4 2 3'
loop_
_atom_site_label
_atom_site_type_symbol
_atom_site_fract_x
_atom_site_fract_y
_atom_site_fract_z
_atom_site_occupancy
Ni1 Ni 0.000 0.000 0.000 1
Sb1 Sb 0.500 0.500 0.500 1
N1 N 0.000 0.500 0.500 1
```

Computed properties:
* density: 5.8 g cm⁻³
* raw formation energy: 1.8375 eV/atom

(3)
# SrCaZn

A relaxed structure of SrCaZn (PBEsol, Alexandria via LeMat-Bulk).

```
data_SrCaZn
_cell_length_a 3.771
_cell_length_b 3.771
_cell_length_c 13.450
_cell_angle_alpha 90.00
_cell_angle_beta 90.00
_cell_angle_gamma 90.00
_symmetry_space_group_name_H-M 'I 4 m m'
_symmetry_Int_Tables_number 107
_symmetry_space_group_name_Hall 'I 4 -2'
loop_
_atom_site_label
_atom_site_type_symbol
_atom_site_fract_x
_atom_site_fract_y
_atom_site_fract_z
_atom_site_occupancy
Sr1 Sr 0.000 0.000 0.000 1
Ca1 Ca 0.000 0.000 0.732 1
Zn1 Zn 0.000 0.000 0.354 1
```

Computed properties:
* distance to the lowest polymorph of the same formula: 0 meV per atom
* energy relative to the elements: -0.4 eV/f.u.
* density: 3.4 g cm⁻³

(4)
# CsNaGe3

A relaxed structure of CsNaGe3 (PBEsol, Alexandria via LeMat-Bulk).

```
data_CsNaGe3
_cell_length_a 5.275
_cell_length_b 5.275
_cell_length_c 5.275
_cell_angle_alpha 90.00
_cell_angle_beta 90.00
_cell_angle_gamma 90.00
_symmetry_space_group_name_H-M 'P m -3 m'
_symmetry_Int_Tables_number 221
_symmetry_space_group_name_Hall '-P 4 2 3'
loop_
_atom_site_label
_atom_site_type_symbol
_atom_site_fract_x
_atom_site_fract_y
_atom_site_fract_z
_atom_site_occupancy
Cs1 Cs 0.000 0.000 0.000 1
Na1 Na 0.500 0.500 0.500 1
Ge1 Ge 0.000 0.500 0.500 1
```

Computed properties:
* energy relative to the elements: 3.7 eV/f.u.
* density: 4.2 g cm⁻³

(5)
# TeIr2

A relaxed structure of TeIr2 (PBEsol, Alexandria via LeMat-Bulk).

```
data_TeIr2
_cell_length_a 5.170
_cell_length_b 5.170
_cell_length_c 8.168
_cell_angle_alpha 90.00
_cell_angle_beta 90.00
_cell_angle_gamma 90.00
_symmetry_space_group_name_H-M 'I 4/m c m'
_symmetry_Int_Tables_number 140
_symmetry_space_group_name_Hall '-I 4 2c'
loop_
_atom_site_label
_atom_site_type_symbol
_atom_site_fract_x
_atom_site_fract_y
_atom_site_fract_z
_atom_site_occupancy
Te1 Te 0.000 0.000 0.250 1
Ir1 Ir 0.179 0.321 0.000 1
```

Computed properties:
* density: 15.6 g cm⁻³
* raw formation energy: 0.3491 eV/atom

(6)
# Tl2AsCl

A relaxed structure of Tl2AsCl (PBEsol, Alexandria via LeMat-Bulk).

```
data_Tl2AsCl
_cell_length_a 5.248
_cell_length_b 3.387
_cell_length_c 11.213
_cell_angle_alpha 90.00
_cell_angle_beta 90.00
_cell_angle_gamma 90.00
_symmetry_space_group_name_H-M 'A m m 2'
_symmetry_Int_Tables_number 38
loop_
_symmetry_equiv_pos_as_xyz
'x,y,z'
'-x,-y,z'
'-x,y,z'
'x,-y,z'
'x,y+1/2,z+1/2'
'-x,-y+1/2,z+1/2'
'-x,y+1/2,z+1/2'
'x,-y+1/2,z+1/2'
loop_
_atom_site_label
_atom_site_type_symbol
_atom_site_fract_x
_atom_site_fract_y
_atom_site_fract_z
_atom_site_occupancy
Tl1 Tl 0.000 0.000 0.000 1
Tl2 Tl 0.500 0.000 0.240 1
As1 As 0.500 0.000 0.505 1
Cl1 Cl 0.000 0.000 0.743 1
```

Computed properties:
* distance to the lowest polymorph of the same formula: 47 meV per atom
* density: 8.7 g cm⁻³
* raw formation energy: -0.2492 eV/atom

Repeat the sixth record exactly.
# Tl2AsCl

A relaxed structure of Tl2AsCl (PBEsol, Alexandria via LeMat-Bulk).

```
data_Tl2AsCl
_cell_length_a 5.248
_cell_length_b 3.387
_cell_length_c 11.213
_cell_angle_alpha 90.00
_cell_angle_beta 90.00
_cell_angle_gamma 90.00
_symmetry_space_group_name_H-M 'A m m 2'
_symmetry_Int_Tables_number 38
loop_
_symmetry_equiv_pos_as_xyz
'x,y,z'
'-x,-y,z'
'-x,y,z'
'x,-y,z'
'x,y+1/2,z+1/2'
'-x,-y+1/2,z+1/2'
'-x,y+1/2,z+1/2'
'x,-y+1/2,z+1/2'
loop_
_atom_site_label
_atom_site_type_symbol
_atom_site_fract_x
_atom_site_fract_y
_atom_site_fract_z
_atom_site_occupancy
Tl1 Tl 0.000 0.000 0.000 1
Tl2 Tl 0.500 0.000 0.240 1
As1 As 0.500 0.000 0.505 1
Cl1 Cl 0.000 0.000 0.743 1
```

Computed properties:
* distance to the lowest polymorph of the same formula: 47 meV per atom
* density: 8.7 g cm⁻³
* raw formation energy: -0.2492 eV/atom